A relaxed LaSm3Ga4 crystal. Source: the Alexandria database, functional PBE.

Lattice parameters (Å, degrees): 3.647 6.984 17.048 90.00 90.00 90.00
Space group Immm (No. 71)
Unique sites:
La (0.000, 0.000, 0.000) (multiplicity 2)
Sm (0.000, 0.000, 0.500) (multiplicity 2)
Sm (0.000, 0.500, 0.299) (multiplicity 4)
Ga (0.000, 0.313, 0.132) (multiplicity 8)

Computed properties:
ΔE_f ... -3.5 eV per formula unit
Energy above the most stable polymorph in this dataset ... 131 meV/atom



A relaxed LaSm3Ga4 crystal. Source: the Alexandria database, functional PBE.

Lattice parameters (Å, degrees): 5.209 5.209 7.354 90.00 90.00 90.00
Space group P4/mmm (No. 123)
Unique sites:
La (0.000, 0.000, 0.000) (multiplicity 1)
Sm (0.000, 0.000, 0.500) (multiplicity 1)
Sm (0.500, 0.500, 0.000) (multiplicity 1)
Sm (0.500, 0.500, 0.500) (multiplicity 1)
Ga (0.000, 0.500, 0.258) (multiplicity 4)

Computed properties:
ΔE_f ... -4.5 eV per formula unit
Energy above the most stable polymorph in this dataset ... 0 meV/atom



A relaxed LaSm4Ga crystal. Source: the Alexandria database, functional PBE.

Lattice parameters (Å, degrees): 10.777 10.777 7.356 90.00 90.00 90.00
Space group I4_1md (No. 109)
Unique sites:
La (0.000, 0.000, 0.000) (multiplicity 4)
Sm (0.000, 0.258, 0.443) (multiplicity 8)
Sm (0.000, 0.287, 0.925) (multiplicity 8)
Ga (0.000, 0.000, 0.421) (multiplicity 4)

Computed properties:
ΔE_f ... 1.9 eV per formula unit



A relaxed LaSm2Ga crystal. Source: the Alexandria database, functional PBE.

Lattice parameters (Å, degrees): 4.876 4.876 4.796 90.00 90.00 90.00
Space group P4/mmm (No. 123)
Unique sites:
La (0.000, 0.000, 0.000) (multiplicity 1)
Sm (0.000, 0.500, 0.500) (multiplicity 2)
Ga (0.500, 0.500, 0.000) (multiplicity 1)

Computed properties:
ΔE_f ... -1.0 eV per formula unit
Energy above the most stable polymorph in this dataset ... 26 meV/atom



A relaxed La3Sm2Ga4 crystal. Source: the Alexandria database, functional PBE.

Lattice parameters (Å, degrees): 12.073 4.640 9.994 90.00 117.56 90.00
Space group C2/m (No. 12)
Unique sites:
La (0.000, 0.000, 0.000) (multiplicity 2)
La (0.142, 0.500, 0.697) (multiplicity 4)
Sm (0.152, 0.500, 0.316) (multiplicity 4)
Ga (0.065, 0.000, 0.422) (multiplicity 4)
Ga (0.206, 0.500, 0.039) (multiplicity 4)

Computed properties:
ΔE_f ... -4.1 eV per formula unit



A relaxed La3SmGa crystal. Source: the Alexandria database, functional PBE.

Lattice parameters (Å, degrees): 3.721 9.308 9.710 75.98 78.97 89.99
Space group P-1 (No. 2)
Unique sites:
La (0.000, 0.173, 0.001) (multiplicity 2)
La (0.186, 0.866, 0.627) (multiplicity 2)
La (0.204, 0.340, 0.592) (multiplicity 2)
Sm (0.409, 0.466, 0.180) (multiplicity 2)
Ga (0.381, 0.924, 0.240) (multiplicity 2)

Computed properties:
ΔE_f ... -1.0 eV per formula unit
Energy above the most stable polymorph in this dataset ... 0 meV/atom



A relaxed La3SmGa crystal. Source: the Alexandria database, functional PBE.

Lattice parameters (Å, degrees): 12.279 9.307 8.088 90.00 130.73 90.00
Space group C2/m (No. 12)
Unique sites:
La (0.064, 0.000, 0.344) (multiplicity 4)
La (0.235, 0.317, 0.773) (multiplicity 8)
Sm (0.062, 0.500, 0.259) (multiplicity 4)
Ga (0.250, 0.000, 0.872) (multiplicity 4)

Computed properties:
ΔE_f ... -0.5 eV per formula unit
Energy above the most stable polymorph in this dataset ... 113 meV/atom



A relaxed La2SmGa6 crystal. Source: the Alexandria database, functional PBE.

Lattice parameters (Å, degrees): 4.467 7.279 13.885 90.00 90.00 90.00
Space group Immm (No. 71)
Unique sites:
La (0.000, 0.000, 0.137) (multiplicity 4)
Sm (0.000, 0.500, 0.000) (multiplicity 2)
Ga (0.000, 0.181, 0.331) (multiplicity 8)
Ga (0.000, 0.315, 0.500) (multiplicity 4)

Computed properties:
ΔE_f ... -4.0 eV per formula unit
Energy above the most stable polymorph in this dataset ... 249 meV/atom



A relaxed LaSm2Ga6 crystal. Source: the Alexandria database, functional PBE.

Lattice parameters (Å, degrees): 4.445 7.299 13.270 90.00 90.00 90.00
Space group Immm (No. 71)
Unique sites:
La (0.000, 0.000, 0.000) (multiplicity 2)
Sm (0.000, 0.500, 0.129) (multiplicity 4)
Ga (0.000, 0.179, 0.500) (multiplicity 4)
Ga (0.000, 0.306, 0.319) (multiplicity 8)

Computed properties:
ΔE_f ... -4.4 eV per formula unit
Energy above the most stable polymorph in this dataset ... 193 meV/atom



A relaxed LaSm2Ga crystal. Source: the Alexandria database, functional PBE.

Lattice parameters (Å, degrees): 3.609 3.609 9.164 90.00 90.00 90.00
Space group P4/mmm (No. 123)
Unique sites:
La (0.000, 0.000, 0.000) (multiplicity 1)
Sm (0.500, 0.500, 0.295) (multiplicity 2)
Ga (0.000, 0.000, 0.500) (multiplicity 1)

Computed properties:
ΔE_f ... -1.1 eV per formula unit
Energy above the most stable polymorph in this dataset ... 0 meV/atom



A relaxed LaSm2Ga crystal. Source: the Alexandria database, functional PBE.

Lattice parameters (Å, degrees): 4.314 12.333 9.256 90.00 90.00 90.00
Space group Cmcm (No. 63)
Unique sites:
La (0.000, 0.060, 0.250) (multiplicity 4)
Sm (0.000, 0.355, 0.052) (multiplicity 8)
Ga (0.000, 0.246, 0.750) (multiplicity 4)

Computed properties:
ΔE_f ... -1.0 eV per formula unit
Energy above the most stable polymorph in this dataset ... 22 meV/atom



A relaxed LaSm2Ga6 crystal. Source: the Alexandria database, functional PBE.

Lattice parameters (Å, degrees): 7.4032 7.4032 4.3179 90.00 90.00 120.00
Space group P6/mmm (No. 191)
Unique sites:
La (0.0000, 0.0000, 0.0000) (multiplicity 1)
Sm (0.3333, 0.6667, 0.0000) (multiplicity 2)
Ga (0.0000, 0.3349, 0.5000) (multiplicity 6)

Computed properties:
ΔE_f ... -6.1 eV per formula unit
Energy above the most stable polymorph in this dataset ... 0 meV/atom



A relaxed LaSm2Ga crystal. Source: the Alexandria database, functional PBE.

Lattice parameters (Å, degrees): 5.0284 5.0284 17.5128 90.00 90.00 120.00
Space group R3m (No. 160, hexagonal axes)
Unique sites:
La (0.0000, 0.0000, 0.0000) (multiplicity 3)
Sm (0.0000, 0.0000, 0.5570) (multiplicity 3)
Sm (0.0000, 0.0000, 0.7835) (multiplicity 3)
Ga (0.0000, 0.0000, 0.1916) (multiplicity 3)

Computed properties:
ΔE_f ... -0.3 eV per formula unit
Energy above the most stable polymorph in this dataset ... 178 meV/atom



A relaxed LaSm2Ga4 crystal. Source: the Alexandria database, functional PBE.

Lattice parameters (Å, degrees): 4.231 4.440 18.665 90.00 90.00 90.00
Space group Immm (No. 71)
Unique sites:
La (0.000, 0.000, 0.000) (multiplicity 2)
Sm (0.000, 0.500, 0.316) (multiplicity 4)
Ga (0.000, 0.000, 0.433) (multiplicity 4)
Ga (0.000, 0.500, 0.146) (multiplicity 4)

Computed properties:
ΔE_f ... -4.6 eV per formula unit



A relaxed LaSmGa4 crystal. Source: the Alexandria database, functional PBE.

Lattice parameters (Å, degrees): 4.303 4.303 14.949 90.00 90.00 90.00
Space group I-4m2 (No. 119)
Unique sites:
La (0.000, 0.000, 0.000) (multiplicity 2)
Sm (0.000, 0.500, 0.250) (multiplicity 2)
Ga (0.000, 0.000, 0.416) (multiplicity 4)
Ga (0.000, 0.500, 0.668) (multiplicity 4)

Computed properties:
ΔE_f ... -4.1 eV per formula unit
Energy above the most stable polymorph in this dataset ... 0 meV/atom



A relaxed LaSm8Ga6 crystal. Source: the Alexandria database, functional PBE.

Lattice parameters (Å, degrees): 8.8713 8.8713 18.7386 90.00 90.00 120.00
Space group R-3 (No. 148, hexagonal axes)
Unique sites:
La (0.0000, 0.0000, 0.0000) (multiplicity 3)
Sm (0.0000, 0.0000, 0.3321) (multiplicity 6)
Sm (0.0015, 0.3316, 0.1128) (multiplicity 18)
Ga (0.9998, 0.3394, 0.9427) (multiplicity 18)

Computed properties:
ΔE_f ... -5.3 eV per formula unit



A relaxed La2SmGa6 crystal. Source: the Alexandria database, functional PBE.

Lattice parameters (Å, degrees): 7.4463 7.4463 4.3944 90.00 90.00 120.00
Space group P6/mmm (No. 191)
Unique sites:
La (0.3333, 0.6667, 0.0000) (multiplicity 2)
Sm (0.0000, 0.0000, 0.0000) (multiplicity 1)
Ga (0.0000, 0.3315, 0.5000) (multiplicity 6)

Computed properties:
ΔE_f ... -6.2 eV per formula unit
Energy above the most stable polymorph in this dataset ... 0 meV/atom



A relaxed La5SmGa4 crystal. Source: the Alexandria database, functional PBE.

Lattice parameters (Å, degrees): 17.777 4.408 8.176 90.00 98.61 90.00
Space group C2/m (No. 12)
Unique sites:
La (0.000, 0.000, 0.000) (multiplicity 2)
La (0.142, 0.500, 0.241) (multiplicity 4)
La (0.194, 0.500, 0.787) (multiplicity 4)
Sm (0.000, 0.000, 0.500) (multiplicity 2)
Ga (0.028, 0.500, 0.757) (multiplicity 4)
Ga (0.201, 0.000, 0.506) (multiplicity 4)

Computed properties:
ΔE_f ... -3.1 eV per formula unit



A relaxed LaSmGa2 crystal. Source: the Alexandria database, functional PBE.

Lattice parameters (Å, degrees): 4.207 4.484 11.379 90.00 90.00 90.00
Space group Amm2 (No. 38)
Unique sites:
La (0.000, 0.000, 0.000) (multiplicity 2)
Sm (0.500, 0.000, 0.280) (multiplicity 2)
Ga (0.000, 0.000, 0.716) (multiplicity 2)
Ga (0.500, 0.000, 0.576) (multiplicity 2)

Computed properties:
ΔE_f ... -2.4 eV per formula unit



A relaxed La2Sm3Ga2 crystal. Source: the Alexandria database, functional PBE.

Lattice parameters (Å, degrees): 12.448 4.266 8.864 90.00 113.56 90.00
Space group C2/m (No. 12)
Unique sites:
La (0.154, 0.000, 0.314) (multiplicity 4)
Sm (0.000, 0.500, 0.500) (multiplicity 2)
Sm (0.124, 0.500, 0.943) (multiplicity 4)
Ga (0.166, 0.000, 0.717) (multiplicity 4)

Computed properties:
ΔE_f ... -2.1 eV per formula unit



A relaxed La6SmGa crystal. Source: the Alexandria database, functional PBE.

Lattice parameters (Å, degrees): 6.752 6.767 6.948 94.84 95.20 119.25
Space group P-1 (No. 2)
Unique sites:
La (0.079, 0.157, 0.239) (multiplicity 2)
La (0.255, 0.754, 0.434) (multiplicity 2)
La (0.342, 0.420, 0.763) (multiplicity 2)
Sm (0.500, 0.000, 0.000) (multiplicity 1)
Ga (0.000, 0.500, 0.000) (multiplicity 1)

Computed properties:
ΔE_f ... -0.9 eV per formula unit



A relaxed La2SmGa2 crystal. Source: the Alexandria database, functional PBE.

Lattice parameters (Å, degrees): 12.022 4.888 11.326 90.00 120.21 90.00
Space group C2/m (No. 12)
Unique sites:
La (0.023, 0.000, 0.182) (multiplicity 4)
La (0.189, 0.000, 0.603) (multiplicity 4)
Sm (0.198, 0.500, 0.853) (multiplicity 4)
Ga (0.049, 0.500, 0.419) (multiplicity 4)
Ga (0.127, 0.500, 0.077) (multiplicity 4)

Computed properties:
ΔE_f ... -2.3 eV per formula unit



A relaxed LaSmGa4 crystal. Source: the Alexandria database, functional PBE.

Lattice parameters (Å, degrees): 7.993 7.993 7.993 90.00 90.00 90.00
Space group F-43m (No. 216)
Unique sites:
La (0.000, 0.000, 0.000) (multiplicity 4)
Sm (0.250, 0.250, 0.250) (multiplicity 4)
Ga (0.125, 0.125, 0.625) (multiplicity 16)

Computed properties:
ΔE_f ... -3.4 eV per formula unit
Energy above the most stable polymorph in this dataset ... 110 meV/atom



A relaxed LaSmGa2 crystal. Source: the Alexandria database, functional PBE.

Lattice parameters (Å, degrees): 3.711 3.711 7.410 90.00 90.00 90.00
Space group P4/mmm (No. 123)
Unique sites:
La (0.000, 0.000, 0.000) (multiplicity 1)
Sm (0.000, 0.000, 0.500) (multiplicity 1)
Ga (0.500, 0.500, 0.265) (multiplicity 2)

Computed properties:
ΔE_f ... -2.3 eV per formula unit



The following DOS(E_F) values (in states/eV per cell) correspond, in order, to the records above: 9.961 3.406 39.692 5.929 13.500 13.366 31.555 12.261 8.426 4.442 25.414 5.864 14.956 9.144 7.628 57.576 6.264 18.040 7.599 17.833 10.726 12.927 15.903 1.850.